[1]
Li2Pr2NdTl2, optimized geometry, DFT PBE; volume = 194.4 Å³ per cell; space group = R-3m, No. 166; VASP energy = -0.128 hartree per atom; ΔE_f = -0.21 eV per atom
1.0
4.9565 0.0000 0.0000
2.4782 4.2925 0.0000
2.4782 1.4308 9.1383
Li Pr Nd Tl
2 2 1 2
direct
0.6060 0.6060 0.1819
0.3940 0.3940 0.8181
0.1270 0.1270 0.6189
0.8730 0.8730 0.3811
0.0000 0.0000 0.0000
0.7355 0.7355 0.7936
0.2645 0.2645 0.2064


[2]
LiPrNdTm, optimized geometry, DFT PBE; volume = 123.2 Å³ per cell; space group = F-43m, No. 216; VASP energy = -0.141 hartree per atom; ΔE_f = 0.14 eV per atom
1.0
-2.7175 -4.1561 2.5555
1.0385 -1.1295 5.3698
-3.8400 1.1497 3.8886
Pr Tm Nd Li
1 1 1 1
direct
0.7500 0.7500 0.7500
0.5000 0.5000 0.5000
0.2500 0.2500 0.2500
0.0000 0.0000 0.0000